Density functional theory data (PBE-GGA) for crystalline PrHfTiO6 at its relaxed geometry.

abc: 5.366 5.366 10.118
angles: 90.00 90.00 120.00
Fractional positions:
Pr 0.000 0.000 0.000
Pr 0.000 0.000 0.500
Hf 0.333 0.667 0.250
Hf 0.667 0.333 0.750
Ti 0.333 0.667 0.750
Ti 0.667 0.333 0.250
O 0.014 0.372 0.642
O 0.014 0.643 0.858
O 0.357 0.372 0.858
O 0.357 0.986 0.642
O 0.372 0.014 0.142
O 0.372 0.357 0.358
O 0.628 0.643 0.642
O 0.628 0.986 0.858
O 0.643 0.014 0.358
O 0.643 0.628 0.142
O 0.986 0.357 0.142
O 0.986 0.628 0.358

The calculated volume is 252.33 Å³/cell. The raw formation energy comes out at -3.0176 eV/atom. The crystal system is trigonal. The calculation puts the total energy at -8.837 eV/atom. Its space-group type is P-31c, No. 163.

Density functional theory data (PBE-GGA) for crystalline HfPt2O6 at its relaxed geometry.

abc: 5.240 5.240 4.425
angles: 90.00 90.00 120.00
Fractional positions:
Hf 0.000 0.000 0.000
Pt 0.333 0.667 0.500
Pt 0.667 0.333 0.500
O 0.000 0.338 0.260
O 0.000 0.662 0.740
O 0.338 0.000 0.260
O 0.338 0.338 0.740
O 0.662 0.000 0.740
O 0.662 0.662 0.260

The calculated volume is 105.21 Å³/cell. The raw formation energy comes out at -1.4191 eV/atom. The crystal system is trigonal. The calculation puts the total energy at -7.173 eV/atom. Its space-group type is P-31m, No. 162.

Density functional theory data (PBE-GGA) for crystalline Hf8Pt2O at its relaxed geometry.

abc: 8.326 8.326 7.988
angles: 98.93 98.93 22.89
Fractional positions:
Hf 0.015 0.015 0.208
Hf 0.203 0.203 0.347
Hf 0.357 0.357 0.989
Hf 0.411 0.411 0.466
Hf 0.589 0.589 0.534
Hf 0.643 0.643 0.011
Hf 0.797 0.797 0.653
Hf 0.985 0.985 0.792
Pt 0.185 0.185 0.769
Pt 0.815 0.815 0.231
O 0.500 0.500 0.000

The calculated volume is 212.70 Å³/cell. The raw formation energy comes out at -0.8947 eV/atom. The crystal system is monoclinic. The calculation puts the total energy at -9.683 eV/atom. Its space-group type is C2/m, No. 12.

Density functional theory data (PBE-GGA) for crystalline Hf2PtO at its relaxed geometry.

abc: 6.561 6.561 6.561
angles: 131.57 131.57 70.91
Fractional positions:
Hf 0.048 0.625 0.923
Hf 0.375 0.298 0.423
Hf 0.702 0.125 0.077
Hf 0.875 0.952 0.577
Pt 0.250 0.750 0.500
Pt 0.500 0.500 0.000
O 0.000 0.000 0.000
O 0.750 0.250 0.500

The calculated volume is 154.80 Å³/cell. The raw formation energy comes out at -1.5077 eV/atom. The crystal system is tetragonal. The calculation puts the total energy at -9.234 eV/atom. Its space-group type is I-42d, No. 122.

Density functional theory data (PBE-GGA) for crystalline Hf4Pt2O at its relaxed geometry.

abc: 7.331 7.331 5.853
angles: 113.23 113.23 25.60
Fractional positions:
Hf 0.080 0.080 0.405
Hf 0.381 0.381 0.054
Hf 0.619 0.619 0.946
Hf 0.920 0.920 0.595
Pt 0.259 0.259 0.306
Pt 0.741 0.741 0.694
O 0.000 0.000 0.000

The calculated volume is 124.27 Å³/cell. The raw formation energy comes out at -1.1487 eV/atom. The crystal system is monoclinic. The calculation puts the total energy at -9.271 eV/atom. Its space-group type is C2/m, No. 12.

Density functional theory data (PBE-GGA) for crystalline Hf6PtO2 at its relaxed geometry.

abc: 7.322 7.322 7.322
angles: 46.26 46.26 46.26
Fractional positions:
Hf 0.005 0.330 0.665
Hf 0.118 0.809 0.460
Hf 0.330 0.665 0.005
Hf 0.460 0.118 0.809
Hf 0.665 0.005 0.330
Hf 0.809 0.460 0.118
Pt 0.897 0.897 0.897
O 0.167 0.167 0.167
O 0.299 0.299 0.299

The calculated volume is 187.03 Å³/cell. The raw formation energy comes out at -1.1109 eV/atom. The crystal system is trigonal. The calculation puts the total energy at -9.520 eV/atom. Its space-group type is R3, No. 146.